Compound: BaLiSnS3
Source: Alexandria
Functional: PBE
Structure: relaxed

Unit cell a=6.7880 b=6.7880 c=8.5374 alpha=67.47 beta=67.47 gamma=70.85
Fractional positions:
Ba: 0.6998 0.6998 0.8115
Ba: 0.3002 0.3002 0.1885
Li: 0.3305 0.6695 0.5000
Li: 0.6695 0.3305 0.5000
Sn: 0.0505 0.0505 0.8150
Sn: 0.9495 0.9495 0.1850
S: 0.2792 0.2792 0.5702
S: 0.1923 0.6762 0.8008
S: 0.6762 0.1923 0.8008
S: 0.3238 0.8077 0.1992
S: 0.8077 0.3238 0.1992
S: 0.7208 0.7208 0.4298

Values from the calculation:
- space-group type = C2/m
- energy relative to the elements, uncorrected (eV/atom) = -1.112
- magnetization (μB/cell) = 0.00